Run A
4
Lattice="-0.871 2.602 -2.645 -3.861 -1.293 -0.003 0.813 4.050 3.716" Properties=species:S:1:pos:R:3 comment="CeSiP2 PBE relaxed" total_magnetization_mub_per_fu=0.0 volume_a3_per_cell=80.1 pbc="T T T"
P -1.050 5.340 1.477
Si -1.272 3.723 -0.062
P -2.083 1.855 1.116
Ce -3.487 -0.217 -0.449

Run B
4
Lattice="-2.179 1.542 -3.480 -4.305 0.789 0.281 -0.832 7.298 0.991" Properties=species:S:1:pos:R:3 comment="CeSiP2 PBE relaxed" total_magnetization_mub_per_fu=0.9 volume_a3_per_cell=116.0 pbc="T T T"
Si 0.000 0.000 0.000
P -1.238 5.307 0.363
Ce -3.658 4.814 -1.104
P -6.078 4.322 -2.571

It comes down to run A, which is 671 meV/atom more stable than the next structure.